[1]
Material: Sr2SbI
Method: DFT, PBE-GGA
State: optimized geometry

```
Sr2SbI
1.0
7.3504 0.0000 0.0000
0.0000 7.3504 0.0000
3.6752 3.6752 8.0030
I Sr Sb
2 4 2
direct
0.7500 0.2500 0.5000
0.0000 0.0000 0.0000
0.1560 0.6250 0.2500
0.8750 0.8440 0.7500
0.5940 0.1250 0.2500
0.3750 0.4060 0.7500
0.2500 0.7500 0.5000
0.5000 0.5000 0.0000
```

Values from the calculation:
The magnetic moment comes out at 0.0000 μB/atom. The density of states at the Fermi level is 0.0000 states/eV per atom. Its uncorrected formation energy is -1.035 eV/atom. The value obtained for the total energy is -0.1210 Ha/atom.

***

[2]
Material: SrSbI6
Method: DFT, PBE-GGA
State: optimized geometry

```
SrSbI6
1.0
7.6592 0.0014 -0.0037
3.8138 6.6570 0.0033
3.8056 2.2088 7.0481
Sb I Sr
1 6 1
direct
0.0000 0.0000 0.0000
0.2250 0.9514 0.2409
0.4154 0.7764 0.7596
0.0491 0.4153 0.7592
0.5846 0.2236 0.2404
0.7750 0.0486 0.7591
0.9509 0.5847 0.2408
0.5000 0.5000 0.5000
```

Values from the calculation:
The magnetic moment comes out at 0.0000 μB/atom. The density of states at the Fermi level is 1.4680 states/eV per atom. Its uncorrected formation energy is -0.671 eV/atom. The value obtained for the total energy is -0.0940 Ha/atom.

***

[3]
Material: Sr4Sb2I5
Method: DFT, PBE-GGA
State: optimized geometry

```
Sr4Sb2I5
1.0
-2.4647 0.4452 3.8153
5.6807 -5.9118 4.3597
9.0109 9.3669 1.9983
Sr Sb I
4 2 5
direct
0.9807 0.2704 0.9613
0.3272 0.4149 0.6543
0.6728 0.5851 0.3457
0.0193 0.7296 0.0387
0.4481 0.5503 0.8963
0.5519 0.4497 0.1037
0.1414 0.8256 0.2828
0.7971 0.6603 0.5943
0.8586 0.1744 0.7172
0.2029 0.3397 0.4057
0.5000 0.0000 0.0000
```

Values from the calculation:
The magnetic moment comes out at 0.0041 μB/atom. The density of states at the Fermi level is 0.6827 states/eV per atom. Its uncorrected formation energy is -1.355 eV/atom. The value obtained for the total energy is -0.1257 Ha/atom.

***

[4]
Material: Sr2SbI
Method: DFT, PBE-GGA
State: optimized geometry

```
Sr2SbI
1.0
4.1498 0.0000 0.0000
0.0000 4.1498 0.0000
0.0000 0.0000 8.5808
Sr I Sb
2 1 1
direct
0.0000 0.0000 0.7071
0.0000 0.0000 0.2929
0.5000 0.5000 0.0000
0.5000 0.5000 0.5000
```

Values from the calculation:
The magnetic moment comes out at 0.0000 μB/atom. The density of states at the Fermi level is 0.3751 states/eV per atom. Its uncorrected formation energy is -1.121 eV/atom. The value obtained for the total energy is -0.1242 Ha/atom.

***

[5]
Material: Sr2SbI
Method: DFT, PBE-GGA
State: optimized geometry

```
Sr2SbI
1.0
0.0000 4.1262 4.1262
4.1262 0.0000 4.1262
4.1262 4.1262 0.0000
I Sr Sb
1 2 1
direct
0.5000 0.5000 0.5000
0.7500 0.7500 0.7500
0.2500 0.2500 0.2500
0.0000 0.0000 0.0000
```

Values from the calculation:
The magnetic moment comes out at 0.0000 μB/atom. The density of states at the Fermi level is 0.0000 states/eV per atom. Its uncorrected formation energy is -1.172 eV/atom. The value obtained for the total energy is -0.1261 Ha/atom.

***

[6]
Material: Sr2SbI
Method: DFT, PBE-GGA
State: optimized geometry

```
Sr2SbI
1.0
4.8044 0.0000 0.0000
2.4022 4.1608 0.0000
2.4022 1.3869 8.3273
Sb I Sr
1 1 2
direct
0.6680 0.6680 0.9960
0.4960 0.4960 0.5119
0.2662 0.2662 0.2013
0.0697 0.0697 0.7908
```

Values from the calculation:
The magnetic moment comes out at 0.0000 μB/atom. Its uncorrected formation energy is -1.286 eV/atom. The value obtained for the total energy is -0.1303 Ha/atom.

***

[7]
Material: Sr2SbI
Method: DFT, PBE-GGA
State: optimized geometry

```
Sr2SbI
1.0
-6.9435 3.9207 -2.6746
-0.9354 -8.4398 -0.6339
0.3757 1.9894 10.5101
Sr Sb I
8 4 4
direct
0.5782 0.8587 0.1265
0.4218 0.1413 0.8735
0.1731 0.9543 0.3765
0.8269 0.0457 0.6235
0.9517 0.7322 0.8735
0.0483 0.2678 0.1265
0.7034 0.4222 0.3765
0.2966 0.5778 0.6235
0.0558 0.8058 0.6116
0.3188 0.0688 0.1377
0.9442 0.1942 0.3884
0.6812 0.9312 0.8623
0.1943 0.4443 0.8886
0.5698 0.3198 0.6395
0.4302 0.6802 0.3605
0.8057 0.5557 0.1114
```

Values from the calculation:
The magnetic moment comes out at 0.0000 μB/atom. Its uncorrected formation energy is -1.336 eV/atom. The value obtained for the total energy is -0.1321 Ha/atom.

***

[8]
Material: SrSb2I8
Method: DFT, PBE-GGA
State: optimized geometry

```
SrSb2I8
1.0
-5.5042 -1.8416 6.0455
0.9685 -8.8093 -0.4810
5.6204 1.1159 6.7779
I Sb Sr
8 2 1
direct
0.7227 0.5998 0.5998
0.2356 0.7515 0.7515
0.2773 0.4002 0.4002
0.2420 0.2659 0.9284
0.7580 0.0716 0.7341
0.7580 0.7341 0.0716
0.7644 0.2485 0.2485
0.2420 0.9284 0.2659
0.4260 0.1783 0.1783
0.5740 0.8217 0.8217
0.0000 0.0000 0.0000
```

Values from the calculation:
The magnetic moment comes out at 0.0000 μB/atom. The density of states at the Fermi level is 0.0000 states/eV per atom. Its uncorrected formation energy is -0.616 eV/atom. The value obtained for the total energy is -0.0972 Ha/atom.

***

[9]
Material: Sr3SbI3
Method: DFT, PBE-GGA
State: optimized geometry

```
Sr3SbI3
1.0
4.8384 0.0000 0.0000
0.0000 9.6217 -0.3776
0.0000 0.1509 13.4352
I Sr Sb
6 6 2
direct
0.7500 0.6221 0.1174
0.7500 0.6246 0.6216
0.2500 0.3779 0.8826
0.7500 0.1034 0.1230
0.2500 0.3754 0.3784
0.2500 0.8966 0.8770
0.2500 0.3585 0.6350
0.7500 0.1442 0.8706
0.7500 0.0989 0.3837
0.7500 0.6415 0.3650
0.2500 0.9011 0.6163
0.2500 0.8558 0.1294
0.7500 0.1324 0.6289
0.2500 0.8676 0.3711
```

Values from the calculation:
The magnetic moment comes out at 0.0000 μB/atom. Its uncorrected formation energy is -1.510 eV/atom. The value obtained for the total energy is -0.1280 Ha/atom.

***

[10]
Material: SrSbI2
Method: DFT, PBE-GGA
State: optimized geometry

```
SrSbI2
1.0
5.5272 0.0000 0.0000
0.0000 5.5272 0.0000
2.7636 2.7636 10.7732
I Sr Sb
4 2 2
direct
0.1127 0.6250 0.2500
0.6373 0.1250 0.2500
0.8750 0.8873 0.7500
0.3750 0.3627 0.7500
0.2500 0.7500 0.5000
0.5000 0.5000 0.0000
0.0000 0.0000 0.0000
0.7500 0.2500 0.5000
```

Values from the calculation:
The magnetic moment comes out at 0.0000 μB/atom. The density of states at the Fermi level is 0.7057 states/eV per atom. Its energy relative to the lowest polymorph listed for this composition is 0 meV per atom. Its uncorrected formation energy is -0.583 eV/atom. The value obtained for the total energy is -0.1032 Ha/atom.

***

[11]
Material: Sr4SbI4
Method: DFT, PBE-GGA
State: optimized geometry

```
Sr4SbI4
1.0
4.6649 0.0000 1.1026
1.9677 7.7114 2.0946
-0.0394 0.0703 10.5865
Sr I Sb
4 4 1
direct
0.9099 0.2740 0.9063
0.3095 0.0939 0.2871
0.0901 0.7260 0.0937
0.6905 0.9061 0.7129
0.3049 0.5939 0.7963
0.6951 0.4061 0.2037
0.8930 0.8050 0.4091
0.1070 0.1950 0.5909
0.5000 0.0000 0.0000
```

Values from the calculation:
The magnetic moment comes out at 0.0000 μB/atom. The density of states at the Fermi level is 0.3782 states/eV per atom. Its uncorrected formation energy is -1.422 eV/atom. The value obtained for the total energy is -0.1219 Ha/atom.

***

[12]
Material: SrSbI2
Method: DFT, PBE-GGA
State: optimized geometry

```
SrSbI2
1.0
4.6647 -2.1851 2.8890
-0.7135 -4.4351 3.8343
2.0250 -5.3910 -1.3104
I Sr Sb
2 1 1
direct
0.7500 0.7500 0.7500
0.2500 0.2500 0.2500
0.0000 0.0000 0.0000
0.5000 0.5000 0.5000
```

Values from the calculation:
The magnetic moment comes out at 0.6212 μB/atom. The density of states at the Fermi level is 1.0979 states/eV per atom. Its energy relative to the lowest polymorph listed for this composition is 68 meV per atom. Its uncorrected formation energy is -0.515 eV/atom. The value obtained for the total energy is -0.1007 Ha/atom.